(1)
The following is a SCAN calculation of a PBEsol-optimized structure of BeCoB2N, from Alexandria via LeMat-Bulk.

## Properties
Space-group type   P4/mmm (123)
Calculated total energy   -7.598 eV per atom

Cell: 2.9806 3.8033 3.8033 Å, 90.00 90.00 90.00°
Sites, in units of the cell vectors:
Be1 0.0000 0.0000 0.0000
B1 0.0000 0.0000 0.5000
B2 0.0000 0.5000 0.0000
Co1 0.5000 0.5000 0.5000
N1 0.5000 0.0000 0.0000


(2)
The following is a SCAN calculation of a PBEsol-optimized structure of Ni2OsRh, from Alexandria via LeMat-Bulk.

## Properties
Space-group type   I-4m2 (119)
Calculated total energy   -34.417 eV per atom
ΔE_f   0.082 eV per atom

Cell: 3.5935 3.5935 4.5132 Å, 113.46 113.46 90.00°
Sites, in units of the cell vectors:
Rh1 0.2500 0.7500 0.5000
Os1 0.5000 0.5000 0.0000
Ni1 0.0000 0.0000 0.0000
Ni2 0.7500 0.2500 0.5000


(3)
The following is a SCAN calculation of a PBEsol-optimized structure of SrWCl3, from Alexandria via LeMat-Bulk.

## Properties
Space-group type   Pm-3m (221)
Calculated total energy   -23.663 eV per atom

Cell: 4.8205 4.8205 4.8205 Å, 90.00 90.00 90.00°
Sites, in units of the cell vectors:
Sr1 0.5000 0.5000 0.5000
W1 0.0000 0.0000 0.0000
Cl1 0.0000 0.5000 0.0000
Cl2 0.0000 0.0000 0.5000
Cl3 0.5000 0.0000 0.0000


(4)
The following is a SCAN calculation of a PBEsol-optimized structure of KIn2TcSn, from Alexandria via LeMat-Bulk.

## Properties
Space-group type   P4/mmm (123)
Calculated total energy   -27.428 eV per atom
ΔE_f   1.789 eV per atom

Cell: 4.7280 5.5740 5.5740 Å, 90.00 90.00 90.00°
Sites, in units of the cell vectors:
Tc1 0.5000 0.0000 0.0000
K1 0.0000 0.0000 0.0000
Sn1 0.5000 0.5000 0.5000
In1 0.0000 0.0000 0.5000
In2 0.0000 0.5000 0.0000


(5)
The following is a SCAN calculation of a PBEsol-optimized structure of SbAu2, from Alexandria via LeMat-Bulk.

## Properties
Space-group type   P-3m1 (164)
Calculated total energy   -58.613 eV per atom

Cell: 3.9847 3.9847 4.6652 Å, 90.00 90.00 120.00°
Sites, in units of the cell vectors:
Sb1 0.0000 0.0000 0.0000
Au1 0.3333 0.6667 0.6611
Au2 0.6667 0.3333 0.3389


(6)
The following is a SCAN calculation of a PBEsol-optimized structure of Zr5Rh3, from Alexandria via LeMat-Bulk.

## Properties
Relative energy among the computed polymorphs   0.27 eV/f.u.
Space-group type   I4/mcm (140)
Calculated total energy   -32.576 eV per atom
ΔE_f   -0.725 eV per atom

Cell: 5.4964 7.8448 7.8448 Å, 82.95 69.49 69.49°
Sites, in units of the cell vectors:
Rh1 0.1685 0.5000 0.1630
Rh2 0.2500 0.0000 0.0000
Rh3 0.6685 0.1630 0.5000
Rh4 0.3315 0.8370 0.5000
Rh5 0.7500 0.0000 0.0000
Rh6 0.8315 0.5000 0.8370
Zr1 0.7163 0.8622 0.7051
Zr2 0.4215 0.2949 0.8622
Zr3 0.7500 0.5000 0.5000
Zr4 0.9215 0.8622 0.2949
Zr5 0.2163 0.7051 0.8622
Zr6 0.7837 0.2949 0.1378
Zr7 0.0785 0.1378 0.7051
Zr8 0.2500 0.5000 0.5000
Zr9 0.5785 0.7051 0.1378
Zr10 0.2837 0.1378 0.2949


(7)
The following is a SCAN calculation of a PBEsol-optimized structure of KBa4Pb, from Alexandria via LeMat-Bulk.

## Properties
Space-group type   F-43m (216)
Calculated total energy   -40.220 eV per atom
ΔE_f   0.166 eV per atom

Cell: 7.4262 7.4262 7.4262 Å, 60.00 60.00 60.00°
Sites, in units of the cell vectors:
Ba1 0.3726 0.3726 0.3726
Ba2 0.3726 0.3726 0.8822
Ba3 0.8822 0.3726 0.3726
Ba4 0.3726 0.8822 0.3726
K1 0.7500 0.7500 0.7500
Pb1 0.0000 0.0000 0.0000


(8)
The following is a SCAN calculation of a PBEsol-optimized structure of Li5Ni9P16O56, from Alexandria via LeMat-Bulk.

## Properties
Space-group type   P1 (1)
Calculated total energy   -9.890 eV per atom

Cell: 9.2970 10.4696 12.3697 Å, 115.74 96.23 108.05°
Sites, in units of the cell vectors:
Li1 0.4271 0.9914 0.3990
Li2 0.6411 0.2859 0.8060
Li3 0.9724 0.9705 0.9925
Li4 0.0539 0.4836 0.0978
Li5 0.3653 0.6931 0.1667
O1 0.7304 0.5140 0.2042
O2 0.3050 0.8830 0.0289
O3 0.2896 0.8679 0.2285
O4 0.3238 0.9731 0.5285
O5 0.7763 0.9857 0.2935
O6 0.8504 0.9038 0.4484
O7 0.4718 0.7198 0.0246
O8 0.0615 0.8910 0.8447
O9 0.5814 0.7421 0.2866
O10 0.9245 0.0797 0.9014
O11 0.6951 0.1092 0.9735
O12 0.7328 0.1447 0.7840
O13 0.6532 0.0252 0.4585
O14 0.2224 0.0167 0.7069
O15 0.2295 0.1710 0.9632
O16 0.5303 0.2707 0.9730
O17 0.9472 0.1057 0.1567
O18 0.4162 0.2570 0.7058
O19 0.1358 0.1081 0.5647
O20 0.5785 0.1469 0.3438
O21 0.7488 0.3921 0.7354
O22 0.0868 0.2327 0.7931
O23 0.3649 0.3942 0.9343
O24 0.8072 0.3858 0.5328
O25 0.8870 0.3005 0.3400
O26 0.0962 0.0802 0.3463
O27 0.3372 0.1178 0.2206
O28 0.5900 0.2027 0.1620
O29 0.5718 0.4324 0.5964
O30 0.2722 0.3279 0.5334
O31 0.9205 0.3452 0.1601
O32 0.9748 0.2294 0.5141
O33 0.5863 0.5943 0.8448
O34 0.1661 0.5137 0.9798
O35 0.2617 0.4799 0.7957
O36 0.8495 0.6320 0.7088
O37 0.5452 0.3866 0.3539
O38 0.4428 0.6138 0.6404
O39 0.1546 0.3678 0.2905
O40 0.8565 0.4890 0.0397
O41 0.0720 0.9023 0.1034
O42 0.0863 0.6490 0.8331
O43 0.4134 0.4096 0.1481
O44 0.7219 0.6711 0.4665
O45 0.0168 0.7773 0.4838
O46 0.4253 0.5770 0.3982
O47 0.4038 0.7950 0.8360
O48 0.6531 0.8801 0.7745
O49 0.9010 0.9146 0.6603
O50 0.1107 0.6970 0.6520
O51 0.1847 0.6201 0.4534
O52 0.6434 0.5924 0.0512
O53 0.9045 0.7667 0.2180
O54 0.2374 0.5921 0.2445
O55 0.4098 0.8560 0.6554
O56 0.7715 0.8282 0.0364
P1 0.2464 0.9301 0.1463
P2 0.7064 0.9044 0.3701
P3 0.0385 0.7232 0.7597
P4 0.8771 0.8135 0.5215
P5 0.2501 0.5508 0.3458
P6 0.7955 0.5987 0.1291
P7 0.4666 0.7845 0.7277
P8 0.3890 0.3065 0.0096
P9 0.6145 0.6885 0.9847
P10 0.7549 0.0666 0.8554
P11 0.2851 0.0976 0.6285
P12 0.9661 0.2723 0.2365
P13 0.5235 0.2170 0.2687
P14 0.7456 0.4488 0.6455
P15 0.2067 0.3984 0.8749
P16 0.1146 0.1890 0.4826
Ni1 0.0734 0.0530 0.8066
Ni2 0.7849 0.1885 0.4167
Ni3 0.4183 0.4501 0.6977
Ni4 0.7136 0.3060 0.0830
Ni5 0.4983 0.5045 0.4986
Ni6 0.2865 0.6883 0.9152
Ni7 0.5781 0.5508 0.2986
Ni8 0.2074 0.8137 0.5786
Ni9 0.9257 0.9436 0.1983